Entry A
Computed, not measured: ZnCu3O after structural relaxation at the GGA-PBE level of DFT.

```
5
Lattice="4.0155 0.0000 0.0000 0.0000 4.0155 0.0000 0.0000 0.0000 4.0155" Properties=species:S:1:pos:R:3 pbc="T T T"
Zn 0.0000 0.0000 0.0000
Cu 0.0000 2.0078 2.0078
Cu 2.0078 0.0000 2.0078
Cu 2.0078 2.0078 0.0000
O 2.0078 2.0078 2.0078
```

Total moment   0.0 μB/f.u.
Space-group type   Pm-3m (221)

Entry B
Computed, not measured: ZnCu3O after structural relaxation at the GGA-PBE level of DFT.

```
5
Lattice="4.3986 0.0000 0.0000 0.0000 4.3986 0.0000 0.0000 0.0000 4.3986" Properties=species:S:1:pos:R:3 pbc="T T T"
Zn 0.0000 0.0000 0.0000
Cu 0.0000 0.0000 2.1993
Cu 0.0000 2.1993 0.0000
Cu 2.1993 0.0000 0.0000
O 2.1993 2.1993 2.1993
```

Total moment   0.0 μB/f.u.
Space-group type   Pm-3m (221)

Referenced to the most stable arrangement, the calculated values in eV/atom are entry A 0.000; entry B 1.082.

Entry A
Computed, not measured: Zn3CuO after structural relaxation at the GGA-PBE level of DFT.

```
5
Lattice="4.5367 0.0000 0.0000 0.0000 4.5367 0.0000 0.0000 0.0000 4.5367" Properties=species:S:1:pos:R:3 pbc="T T T"
Zn 0.0000 0.0000 2.2683
Zn 0.0000 2.2683 0.0000
Zn 2.2683 0.0000 0.0000
Cu 0.0000 0.0000 0.0000
O 2.2683 2.2683 2.2683
```

Total moment   0.0 μB/f.u.
Space-group type   Pm-3m (221)

Entry B
Computed, not measured: Zn3CuO after structural relaxation at the GGA-PBE level of DFT.

```
5
Lattice="4.1325 0.0000 0.0000 0.0000 4.1325 0.0000 0.0000 0.0000 4.1325" Properties=species:S:1:pos:R:3 pbc="T T T"
Zn 0.0000 0.0000 2.0662
Zn 0.0000 2.0662 0.0000
Zn 2.0662 0.0000 0.0000
Cu 2.0662 2.0662 2.0662
O 0.0000 0.0000 0.0000
```

Total moment   0.0 μB/f.u.
Space-group type   Pm-3m (221)

Referenced to the most stable arrangement, the calculated values in eV/atom are entry A 0.609; entry B 0.000.